Compound: AcY4S5
Source: Alexandria
Functional: GGA-PBE
Structure: relaxed Values from VASP.

```
&SYSTEM
  ibrav = 0, nat = 10, ntyp = 3
/
ATOMIC_SPECIES
Ac 227.00 Ac.upf
Y 88.91 Y.upf
S 32.06 S.upf
CELL_PARAMETERS angstrom
-1.984 2.848 10.049
1.984 -2.848 10.049
1.984 2.848 -10.049
ATOMIC_POSITIONS angstrom
Ac 0.000 0.000 0.000
Y 0.000 0.000 4.110
Y 0.000 0.000 8.025
Y 0.000 0.000 12.074
Y 0.000 0.000 15.988
S 1.984 0.000 2.220
S 1.984 0.000 6.059
S 0.000 2.848 0.000
S 0.000 2.848 3.990
S 0.000 2.848 7.830
```

Computed properties:
electronic total energy	-7.015	eV/atom
spin magnetization	0.00	μB/f.u.
N(E_F)	5.14	states/eV/f.u.
raw formation energy	-1.954	eV/atom